(P)
A plane-wave DFT calculation with GGA-PBE was carried out for crystalline GaAs3F at its relaxed geometry.

Cell: 4.8975 4.8975 4.8975 Å, 90.00 90.00 90.00°
Closest atoms and distances in Å follow each position.
Element x y z (fractional)
As: 0.0000 0.5000 0.0000  2 Ga 2.45
As: 0.5000 0.0000 0.0000  2 Ga 2.45
Ga: 0.0000 0.0000 0.0000  6 As 2.45
As: 0.0000 0.0000 0.5000  2 Ga 2.45
F: 0.5000 0.5000 0.5000  12 As 3.46

Values from the calculation:
density: 4.432 Mg/m³

(Q)
A plane-wave DFT calculation with GGA-PBE was carried out for crystalline GaAs3F at its relaxed geometry.

Cell: 4.6321 4.6321 4.6321 Å, 90.00 90.00 90.00°
Closest atoms and distances in Å follow each position.
Element x y z (fractional)
As: 0.0000 0.0000 0.5000  2 F 2.32
As: 0.5000 0.0000 0.0000  2 F 2.32
Ga: 0.5000 0.5000 0.5000  12 As 3.28
F: 0.0000 0.0000 0.0000  6 As 2.32
As: 0.0000 0.5000 0.0000  2 F 2.32

Values from the calculation:
density: 5.238 Mg/m³

The data favor (Q); the next most stable structure lies 225 meV per atom above it.

(P)
A plane-wave DFT calculation with GGA-PBE was carried out for crystalline GaAsF2 at its relaxed geometry.

Cell: 6.1354 6.1354 6.0154 Å, 59.34 59.34 90.00°
Closest atoms and distances in Å follow each position.
Element x y z (fractional)
F: 0.4409 0.1250 0.2500  2 Ga 1.90
Ga: 0.5000 0.5000 0.0000  4 F 1.90
F: 0.3091 0.6250 0.2500  2 Ga 1.90
As: 0.7500 0.2500 0.5000  8 F 3.25-3.50
F: 0.3750 0.5591 0.7500  2 Ga 1.90
As: 0.0000 0.0000 0.0000  8 F 3.25-3.50
F: 0.8750 0.6909 0.7500  2 Ga 1.90
Ga: 0.2500 0.7500 0.5000  4 F 1.90

Values from the calculation:
density: 3.867 Mg/m³

(Q)
A plane-wave DFT calculation with GGA-PBE was carried out for crystalline GaAsF2 at its relaxed geometry.

Cell: 8.1609 8.1609 8.1609 Å, 21.15 21.15 21.15°
Closest atoms and distances in Å follow each position.
Element x y z (fractional)
Ga: 0.5000 0.5000 0.5000  6 F 2.63
F: 0.9164 0.9164 0.9164  1 As 2.00
F: 0.0836 0.0836 0.0836  1 As 2.00
As: 0.0000 0.0000 0.0000  2 F 2.00

Values from the calculation:
density: 4.895 Mg/m³

The data favor (Q); the next most stable structure lies 352 meV per atom above it.

(P)
A plane-wave DFT calculation with GGA-PBE was carried out for crystalline GaAsF3 at its relaxed geometry.

Cell: 4.4108 4.4108 4.4108 Å, 90.00 90.00 90.00°
Closest atoms and distances in Å follow each position.
Element x y z (fractional)
As: 0.0000 0.0000 0.0000  6 F 2.21
F: 0.5000 0.0000 0.0000  2 As 2.21
Ga: 0.5000 0.5000 0.5000  12 F 3.12
F: 0.0000 0.0000 0.5000  2 As 2.21
F: 0.0000 0.5000 0.0000  2 As 2.21

Values from the calculation:
density: 3.902 Mg/m³

(Q)
A plane-wave DFT calculation with GGA-PBE was carried out for crystalline GaAsF3 at its relaxed geometry.

Cell: 4.1693 4.1693 4.1693 Å, 90.00 90.00 90.00°
Closest atoms and distances in Å follow each position.
Element x y z (fractional)
F: 0.0000 0.5000 0.0000  2 Ga 2.08
As: 0.5000 0.5000 0.5000  12 F 2.95
F: 0.5000 0.0000 0.0000  2 Ga 2.08
Ga: 0.0000 0.0000 0.0000  6 F 2.08
F: 0.0000 0.0000 0.5000  2 Ga 2.08

Values from the calculation:
density: 4.620 Mg/m³

The data favor (P); the next most stable structure lies 121 meV per atom above it.

(P)
A plane-wave DFT calculation with GGA-PBE was carried out for crystalline GaAsNF2 at its relaxed geometry.

Cell: 4.4727 4.4727 3.6692 Å, 90.00 90.00 90.00°
Closest atoms and distances in Å follow each position.
Element x y z (fractional)
N: 0.0000 0.0000 0.5000  2 As 1.83
As: 0.0000 0.0000 0.0000  2 N 1.83
F: 0.0000 0.5000 0.0000  2 As 2.24
Ga: 0.5000 0.5000 0.5000  8 F 2.89, 4 N 3.16
F: 0.5000 0.0000 0.0000  2 As 2.24

Values from the calculation:
density: 4.449 Mg/m³

(Q)
A plane-wave DFT calculation with GGA-PBE was carried out for crystalline GaAsNF2 at its relaxed geometry.

Cell: 3.8574 3.8574 4.1432 Å, 90.00 90.00 90.00°
Closest atoms and distances in Å follow each position.
Element x y z (fractional)
N: 0.0000 0.0000 0.5000  2 Ga 2.07
F: 0.0000 0.5000 0.0000  2 Ga 1.93
F: 0.5000 0.0000 0.0000  2 Ga 1.93
Ga: 0.0000 0.0000 0.0000  4 F 1.93, 2 N 2.07
As: 0.5000 0.5000 0.5000  4 N 2.73, 8 F 2.83

Values from the calculation:
density: 5.297 Mg/m³

The data favor (P); the next most stable structure lies 22 meV per atom above it.

(P)
A plane-wave DFT calculation with GGA-PBE was carried out for crystalline GaAsSe2F at its relaxed geometry.

Cell: 5.0998 4.0856 5.0998 Å, 90.00 90.00 90.00°
Closest atoms and distances in Å follow each position.
Element x y z (fractional)
Ga: 0.5000 0.5000 0.5000  8 Se 3.27, 4 As 3.61
As: 0.0000 0.5000 0.0000  2 F 2.04
Se: 0.5000 0.0000 0.0000  2 F 2.55
F: 0.0000 0.0000 0.0000  2 As 2.04
Se: 0.0000 0.0000 0.5000  2 F 2.55

Values from the calculation:
density: 5.025 Mg/m³

(Q)
A plane-wave DFT calculation with GGA-PBE was carried out for crystalline GaAsSe2F at its relaxed geometry.

Cell: 4.8905 4.8905 4.9878 Å, 90.00 90.00 90.00°
Closest atoms and distances in Å follow each position.
Element x y z (fractional)
Se: 0.5000 0.0000 0.0000  2 Ga 2.45
As: 0.0000 0.0000 0.5000  2 Ga 2.49
Se: 0.0000 0.5000 0.0000  2 Ga 2.45
Ga: 0.0000 0.0000 0.0000  4 Se 2.45, 2 As 2.49
F: 0.5000 0.5000 0.5000  4 As 3.46, 8 Se 3.49

Values from the calculation:
density: 4.476 Mg/m³

The data favor (P); the next most stable structure lies 153 meV per atom above it.

(P)
A plane-wave DFT calculation with GGA-PBE was carried out for crystalline GaAs2SeF at its relaxed geometry.

Cell: 4.9234 4.9234 4.8741 Å, 90.00 90.00 90.00°
Closest atoms and distances in Å follow each position.
Element x y z (fractional)
Ga: 0.0000 0.0000 0.0000  2 Se 2.44, 4 As 2.46
As: 0.0000 0.5000 0.0000  2 Ga 2.46
Se: 0.0000 0.0000 0.5000  2 Ga 2.44
F: 0.5000 0.5000 0.5000  8 As 3.46, 4 Se 3.48
As: 0.5000 0.0000 0.0000  2 Ga 2.46

Values from the calculation:
density: 4.463 Mg/m³

(Q)
A plane-wave DFT calculation with GGA-PBE was carried out for crystalline GaAs2SeF at its relaxed geometry.

Cell: 4.4117 4.4117 5.2631 Å, 90.00 90.00 90.00°
Closest atoms and distances in Å follow each position.
Element x y z (fractional)
F: 0.0000 0.0000 0.0000  4 As 2.21
Ga: 0.5000 0.5000 0.5000  4 Se 3.12, 8 As 3.43
As: 0.5000 0.0000 0.0000  2 F 2.21
As: 0.0000 0.5000 0.0000  2 F 2.21
Se: 0.0000 0.0000 0.5000  2 F 2.63

Values from the calculation:
density: 5.147 Mg/m³

The data favor (Q); the next most stable structure lies 196 meV per atom above it.